(1)
TbNd2Sc4: optimized geometry, PBE-GGA.

abc: 10.7677 10.7677 5.2564
angles: 90.00 90.00 160.23
Last column: nearest neighbours and their distance in Å.
Element x y z (fractional)
Tb1 0.0000 0.0000 0.0000  8 Nd 3.58, 2 Tb 3.70
Nd1 0.4254 0.5746 0.5000  1 Nd 3.17, 4 Sc 3.22-3.51
Nd2 0.5746 0.4254 0.5000  1 Nd 3.17, 4 Sc 3.22-3.51
Sc1 0.1988 0.8012 0.5000  2 Sc 2.85
Sc2 0.3156 0.6844 0.0000  8 Sc 3.23-3.61, 2 Nd 3.51
Sc3 0.6844 0.3156 0.0000  8 Sc 3.23-3.61, 2 Nd 3.51
Sc4 0.8012 0.1988 0.5000  2 Sc 2.85

Computed properties:
Total moment = 0.0 μB per formula unit
ΔE_f = 0.18 eV per atom


(2)
Tb4Nd2Sc3: optimized geometry, PBE-GGA.

abc: 6.1486 9.0195 10.8963
angles: 70.80 73.69 89.84
Last column: nearest neighbours and their distance in Å.
Element x y z (fractional)
Tb1 0.0060 0.4249 0.1645  5 Sc 3.40-3.63, 5 Tb 3.41-3.64, 2 Nd 3.47-3.50
Tb2 0.1194 0.3658 0.6091  5 Sc 3.43-3.62, 3 Tb 3.44-3.50, 4 Nd 3.46-3.65
Tb3 0.3287 0.9109 0.1643  5 Sc 3.43-3.66, 4 Tb 3.44-3.49, 3 Nd 3.48-3.67
Tb4 0.4540 0.6967 0.9426  5 Sc 3.41-3.64, 6 Tb 3.44-3.64, 1 Nd 3.46
Tb5 0.5460 0.3033 0.0574  5 Sc 3.41-3.64, 6 Tb 3.44-3.64, 1 Nd 3.46
Tb6 0.6713 0.0891 0.8357  5 Sc 3.43-3.66, 4 Tb 3.44-3.49, 3 Nd 3.48-3.67
Tb7 0.8806 0.6342 0.3909  5 Sc 3.43-3.62, 3 Tb 3.44-3.50, 4 Nd 3.46-3.65
Tb8 0.9940 0.5751 0.8355  5 Sc 3.40-3.63, 5 Tb 3.41-3.64, 2 Nd 3.47-3.50
Nd1 0.2089 0.9675 0.7273  5 Sc 3.42-3.66, 5 Tb 3.46-3.67, 2 Nd 3.50-3.52
Nd2 0.3381 0.7557 0.5001  5 Sc 3.46-3.65, 5 Tb 3.46-3.65, 2 Nd 3.50-3.52
Nd3 0.6619 0.2443 0.4999  5 Sc 3.46-3.65, 5 Tb 3.46-3.65, 2 Nd 3.50-3.52
Nd4 0.7911 0.0325 0.2727  5 Sc 3.42-3.66, 5 Tb 3.46-3.67, 2 Nd 3.50-3.52
Sc1 0.1175 0.1944 0.9405  2 Sc 3.40-3.47, 8 Tb 3.40-3.64, 2 Nd 3.42-3.51
Sc2 0.2170 0.1453 0.3888  2 Sc 3.41-3.48, 4 Tb 3.42-3.66, 6 Nd 3.47-3.66
Sc3 0.4493 0.5263 0.2728  2 Sc 3.40-3.41, 8 Tb 3.41-3.62, 2 Nd 3.46-3.65
Sc4 0.5507 0.4737 0.7272  2 Sc 3.40-3.41, 8 Tb 3.41-3.62, 2 Nd 3.46-3.65
Sc5 0.7830 0.8547 0.6112  2 Sc 3.41-3.48, 4 Tb 3.42-3.66, 6 Nd 3.47-3.66
Sc6 0.8825 0.8056 0.0595  2 Sc 3.40-3.47, 8 Tb 3.40-3.64, 2 Nd 3.42-3.51

Computed properties:
Energy above the most stable polymorph in this dataset = 0 meV/atom
Total moment = 0.0 μB per formula unit
ΔE_f = 0.04 eV per atom


(3)
Tb2NdSc4: optimized geometry, PBE-GGA.

abc: 6.5342 6.5342 6.5342
angles: 103.42 103.42 122.41
Last column: nearest neighbours and their distance in Å.
Element x y z (fractional)
Tb1 0.2500 0.7500 0.5000  2 Tb 3.15, 8 Sc 3.33
Tb2 0.7500 0.2500 0.5000  2 Tb 3.15, 8 Sc 3.33
Nd1 0.0000 0.0000 0.0000  12 Sc 3.52-3.84
Sc1 0.3074 0.3074 0.6148  4 Sc 3.12-3.41, 4 Tb 3.33
Sc2 0.3074 0.6926 0.0000  4 Sc 3.12-3.41, 4 Tb 3.33
Sc3 0.6926 0.3074 0.0000  4 Sc 3.12-3.41, 4 Tb 3.33
Sc4 0.6926 0.6926 0.3852  4 Sc 3.12-3.41, 4 Tb 3.33

Computed properties:
Energy above the most stable polymorph in this dataset = 179 meV/atom
Total moment = 2.7 μB per formula unit
ΔE_f = 0.24 eV per atom


(4)
TbNd7Sc3: optimized geometry, PBE-GGA.

abc: 8.3815 8.3815 8.3815
angles: 139.12 99.86 94.17
Last column: nearest neighbours and their distance in Å.
Element x y z (fractional)
Tb1 0.0000 0.0000 0.0000  4 Nd 2.93-3.28
Nd1 0.0000 0.5000 0.5000  2 Tb 2.93
Nd2 0.1018 0.2898 0.8120  2 Sc 3.14-3.48, 2 Nd 3.34
Nd3 0.3038 0.0000 0.3038  2 Sc 3.21, 1 Tb 3.28, 2 Nd 3.54
Nd4 0.4779 0.2898 0.1880  2 Sc 3.14-3.48, 2 Nd 3.34
Nd5 0.5221 0.7102 0.8120  2 Sc 3.14-3.48, 2 Nd 3.34
Nd6 0.6962 0.0000 0.6962  2 Sc 3.21, 1 Tb 3.28, 2 Nd 3.54
Nd7 0.8982 0.7102 0.1880  2 Sc 3.14-3.48, 2 Nd 3.34
Sc1 0.2891 0.7891 0.5000  9 Nd 3.21-3.56
Sc2 0.5000 0.5000 0.0000  4 Nd 3.14
Sc3 0.7109 0.2109 0.5000  9 Nd 3.21-3.56

Computed properties:
Total moment = 0.0 μB per formula unit
ΔE_f = 0.23 eV per atom


(5)
TbNdSc: optimized geometry, PBE-GGA.

abc: 3.4543 5.2797 10.1852
angles: 90.00 99.74 90.00
Last column: nearest neighbours and their distance in Å.
Element x y z (fractional)
Tb1 0.1075 0.2500 0.2162  6 Sc 3.41-3.45, 2 Tb 3.45, 5 Nd 3.70-3.76
Tb2 0.8925 0.7500 0.7838  6 Sc 3.41-3.45, 2 Tb 3.45, 5 Nd 3.70-3.76
Nd1 0.2959 0.2500 0.5912  1 Sc 3.33, 6 Nd 3.45-3.65, 4 Tb 3.70
Nd2 0.7041 0.7500 0.4088  1 Sc 3.33, 6 Nd 3.45-3.65, 4 Tb 3.70
Sc1 0.4618 0.2500 0.9225  2 Sc 3.06, 1 Nd 3.33, 2 Tb 3.41-3.42
Sc2 0.5382 0.7500 0.0775  2 Sc 3.06, 1 Nd 3.33, 2 Tb 3.41-3.42

Computed properties:
Energy above the most stable polymorph in this dataset = 0 meV/atom
Total moment = 0.0 μB per formula unit
ΔE_f = 0.04 eV per atom


(6)
Tb6Nd2Sc: optimized geometry, PBE-GGA.

abc: 10.0241 10.0241 6.0859
angles: 95.57 95.57 70.48
Last column: nearest neighbours and their distance in Å.
Element x y z (fractional)
Tb1 0.0933 0.8090 0.9892  4 Tb 3.30-3.65, 1 Sc 3.40, 3 Nd 3.47-3.61
Tb2 0.1590 0.4326 0.1372  1 Sc 3.36, 4 Tb 3.36-3.50, 3 Nd 3.45-3.52
Tb3 0.1910 0.9067 0.5108  4 Tb 3.30-3.65, 1 Sc 3.40, 3 Nd 3.47-3.61
Tb4 0.2580 0.5262 0.6723  2 Sc 3.27-3.31, 5 Tb 3.30-3.55, 2 Nd 3.46-3.61
Tb5 0.4326 0.1590 0.6372  1 Sc 3.36, 4 Tb 3.36-3.50, 3 Nd 3.45-3.52
Tb6 0.4738 0.7420 0.8277  2 Sc 3.27-3.31, 5 Tb 3.30-3.55, 2 Nd 3.46-3.61
Tb7 0.5262 0.2580 0.1723  2 Sc 3.27-3.31, 5 Tb 3.30-3.55, 2 Nd 3.46-3.61
Tb8 0.5674 0.8410 0.3628  1 Sc 3.36, 4 Tb 3.36-3.50, 3 Nd 3.45-3.52
Tb9 0.7420 0.4738 0.3277  2 Sc 3.27-3.31, 5 Tb 3.30-3.55, 2 Nd 3.46-3.61
Tb10 0.8090 0.0933 0.4892  4 Tb 3.30-3.65, 1 Sc 3.40, 3 Nd 3.47-3.61
Tb11 0.8410 0.5674 0.8628  1 Sc 3.36, 4 Tb 3.36-3.50, 3 Nd 3.45-3.52
Tb12 0.9067 0.1910 0.0108  4 Tb 3.30-3.65, 1 Sc 3.40, 3 Nd 3.47-3.61
Nd1 0.0677 0.2749 0.5628  10 Tb 3.45-3.85
Nd2 0.2749 0.0677 0.0628  10 Tb 3.45-3.85
Nd3 0.7251 0.9323 0.9372  10 Tb 3.45-3.85
Nd4 0.9323 0.7251 0.4372  10 Tb 3.45-3.85
Sc1 0.3970 0.6030 0.2500  8 Tb 3.27-3.40
Sc2 0.6030 0.3970 0.7500  8 Tb 3.27-3.40

Computed properties:
Energy above the most stable polymorph in this dataset = 0 meV/atom
Total moment = 0.0 μB per formula unit
ΔE_f = 0.10 eV per atom


Number 5 is which compound? TbNdSc


Copy entry 3 word for word.
Tb2NdSc4: optimized geometry, PBE-GGA.

abc: 6.5342 6.5342 6.5342
angles: 103.42 103.42 122.41
Last column: nearest neighbours and their distance in Å.
Element x y z (fractional)
Tb1 0.2500 0.7500 0.5000  2 Tb 3.15, 8 Sc 3.33
Tb2 0.7500 0.2500 0.5000  2 Tb 3.15, 8 Sc 3.33
Nd1 0.0000 0.0000 0.0000  12 Sc 3.52-3.84
Sc1 0.3074 0.3074 0.6148  4 Sc 3.12-3.41, 4 Tb 3.33
Sc2 0.3074 0.6926 0.0000  4 Sc 3.12-3.41, 4 Tb 3.33
Sc3 0.6926 0.3074 0.0000  4 Sc 3.12-3.41, 4 Tb 3.33
Sc4 0.6926 0.6926 0.3852  4 Sc 3.12-3.41, 4 Tb 3.33

Computed properties:
Energy above the most stable polymorph in this dataset = 179 meV/atom
Total moment = 2.7 μB per formula unit
ΔE_f = 0.24 eV per atom